No. 1
The following is a GGA-PBE calculation of a geometry-optimized ZrMo2As structure, from Alexandria via LeMat-Bulk.

Unit cell a=5.5605 b=5.5605 c=5.5605 alpha=140.33 beta=140.33 gamma=57.36
Closest atoms and distances in Å follow each position.
Element x y z (fractional)
Zr  0.0000  0.0000  0.0000  4 As 2.67
Mo  0.2500  0.7500  0.5000  4 Mo 2.67
Mo  0.7500  0.2500  0.5000  4 Mo 2.67
As  0.5000  0.5000  0.0000  4 Zr 2.67

Values from the calculation:
The value obtained for the formation energy is -103.8 meV per atom.

---

No. 2
The following is a GGA-PBE calculation of a geometry-optimized Tb7Pm12Tm structure, from Alexandria via LeMat-Bulk.

Unit cell a=11.5094 b=11.5094 c=11.5094 alpha=116.84 beta=116.84 gamma=116.84
Closest atoms and distances in Å follow each position.
Element x y z (fractional)
Tb  0.0000  0.0000  0.0000  2 Tm 3.11, 6 Tb 3.32
Tb  0.1297  0.3744  0.3750  1 Tm 3.06, 1 Tb 3.32, 4 Pm 3.33-3.37
Tb  0.3744  0.3750  0.1297  1 Tm 3.06, 1 Tb 3.32, 4 Pm 3.33-3.37
Tb  0.3750  0.1297  0.3744  1 Tm 3.06, 1 Tb 3.32, 4 Pm 3.33-3.37
Tb  0.6250  0.8703  0.6256  1 Tm 3.06, 1 Tb 3.32, 4 Pm 3.33-3.37
Tb  0.6256  0.6250  0.8703  1 Tm 3.06, 1 Tb 3.32, 4 Pm 3.33-3.37
Tb  0.8703  0.6256  0.6250  1 Tm 3.06, 1 Tb 3.32, 4 Pm 3.33-3.37
Pm  0.9995  0.4124  0.5872  2 Tb 3.37, 5 Pm 3.40-3.73
Pm  0.0005  0.5876  0.4128  2 Tb 3.37, 5 Pm 3.40-3.73
Pm  0.0861  0.4404  0.0867  4 Tb 3.33-3.60, 1 Pm 3.34
Pm  0.0867  0.0861  0.4404  4 Tb 3.33-3.60, 1 Pm 3.34
Pm  0.4124  0.5872  0.9995  2 Tb 3.37, 5 Pm 3.40-3.73
Pm  0.4128  0.0005  0.5876  2 Tb 3.37, 5 Pm 3.40-3.73
Pm  0.4404  0.0867  0.0861  4 Tb 3.33-3.60, 1 Pm 3.34
Pm  0.5596  0.9133  0.9139  4 Tb 3.33-3.60, 1 Pm 3.34
Pm  0.5872  0.9995  0.4124  2 Tb 3.37, 5 Pm 3.40-3.73
Pm  0.5876  0.4128  0.0005  2 Tb 3.37, 5 Pm 3.40-3.73
Pm  0.9133  0.9139  0.5596  4 Tb 3.33-3.60, 1 Pm 3.34
Pm  0.9139  0.5596  0.9133  4 Tb 3.33-3.60, 1 Pm 3.34
Tm  0.5000  0.5000  0.5000  8 Tb 3.06-3.11

Values from the calculation:
The value obtained for the formation energy is 235.1 meV per atom.

---

No. 3
The following is a GGA-PBE calculation of a geometry-optimized BaLaCd3 structure, from Alexandria via LeMat-Bulk.

Unit cell a=5.9966 b=5.9966 c=5.9966 alpha=90.00 beta=90.00 gamma=90.00
Closest atoms and distances in Å follow each position.
Element x y z (fractional)
Ba  0.0000  0.0000  0.0000  12 Cd 4.24
La  0.5000  0.5000  0.5000  6 Cd 3.00
Cd  0.0000  0.5000  0.5000  2 La 3.00
Cd  0.5000  0.0000  0.5000  2 La 3.00
Cd  0.5000  0.5000  0.0000  2 La 3.00

Values from the calculation:
The value obtained for the formation energy is 214.2 meV per atom.

---

No. 4
The following is a GGA-PBE calculation of a geometry-optimized Li2CaGe2Pd2 structure, from Alexandria via LeMat-Bulk.

Unit cell a=4.5793 b=4.5793 c=7.8619 alpha=99.48 beta=99.48 gamma=57.47
Closest atoms and distances in Å follow each position.
Element x y z (fractional)
Li  0.1062  0.1062  0.1751  3 Pd 2.59-2.65, 3 Ge 2.63-2.64
Li  0.8938  0.8938  0.8249  3 Pd 2.59-2.65, 3 Ge 2.63-2.64
Ca  0.5000  0.5000  0.5000  2 Ge 2.87
Ge  0.4216  0.4216  0.1283  4 Pd 2.55-2.81, 1 Ge 2.57, 3 Li 2.63-2.64
Ge  0.5784  0.5784  0.8717  4 Pd 2.55-2.81, 1 Ge 2.57, 3 Li 2.63-2.64
Pd  0.2232  0.2232  0.8253  4 Ge 2.55-2.81, 3 Li 2.59-2.65
Pd  0.7768  0.7768  0.1747  4 Ge 2.55-2.81, 3 Li 2.59-2.65

Values from the calculation:
The value obtained for the formation energy is -476.6 meV per atom.

---

No. 5
The following is a GGA-PBE calculation of a geometry-optimized Li2SmYS4 structure, from Alexandria via LeMat-Bulk.

Unit cell a=6.5963 b=3.9630 c=6.8605 alpha=90.00 beta=110.22 gamma=90.00
Closest atoms and distances in Å follow each position.
Element x y z (fractional)
Li  0.0000  0.0000  0.0000  6 S 2.73-2.74
Li  0.0000  0.5000  0.5000  6 S 2.77
Sm  0.5000  0.0000  0.5000  6 S 2.79
Y  0.5000  0.5000  0.0000  6 S 2.75-2.76
S  0.2462  0.5000  0.2444  3 Li 2.74-2.77, 1 Y 2.75, 2 Sm 2.79
S  0.2482  0.0000  0.7542  3 Li 2.73-2.77, 2 Y 2.76, 1 Sm 2.79
S  0.7518  0.0000  0.2458  3 Li 2.73-2.77, 2 Y 2.76, 1 Sm 2.79
S  0.7538  0.5000  0.7556  3 Li 2.74-2.77, 1 Y 2.75, 2 Sm 2.79

Values from the calculation:
As for the raw formation energy: -1827 meV per atom.

---

No. 6
The following is a GGA-PBE calculation of a geometry-optimized Tb2ThSc3 structure, from Alexandria via LeMat-Bulk.

Unit cell a=9.2822 b=9.2822 c=9.2822 alpha=159.87 beta=140.53 gamma=44.69
Closest atoms and distances in Å follow each position.
Element x y z (fractional)
Tb  0.1820  0.1820  0.0000  6 Sc 3.18-3.52, 2 Tb 3.24
Tb  0.8180  0.8180  0.0000  6 Sc 3.18-3.52, 2 Tb 3.24
Th  0.5000  0.5000  0.0000  6 Sc 3.07-3.13, 2 Th 3.24
Sc  0.0000  0.5000  0.5000  2 Th 3.13, 2 Sc 3.24
Sc  0.3484  0.8484  0.5000  2 Th 3.07, 4 Tb 3.18-3.29, 2 Sc 3.24
Sc  0.6516  0.1516  0.5000  2 Th 3.07, 4 Tb 3.18-3.29, 2 Sc 3.24

Values from the calculation:
The value obtained for the formation energy is 406.7 meV per atom.

---

No. 7
The following is a GGA-PBE calculation of a geometry-optimized InIr2Cl structure, from Alexandria via LeMat-Bulk.

Unit cell a=4.9928 b=4.9928 c=4.9928 alpha=131.63 beta=131.63 gamma=70.82
Closest atoms and distances in Å follow each position.
Element x y z (fractional)
In  0.0000  0.0000  0.0000  8 Ir 2.89, 4 Cl 2.89
Ir  0.2500  0.7500  0.5000  4 In 2.89, 4 Cl 2.89, 4 Ir 2.89
Ir  0.7500  0.2500  0.5000  4 In 2.89, 4 Cl 2.89, 4 Ir 2.89
Cl  0.5000  0.5000  0.0000  8 Ir 2.89, 4 In 2.89

Values from the calculation:
As for the raw formation energy: 772 meV per atom.

---

No. 8
The following is a GGA-PBE calculation of a geometry-optimized SrSbAu4 structure, from Alexandria via LeMat-Bulk.

Unit cell a=5.7386 b=5.7386 c=5.7386 alpha=60.00 beta=60.00 gamma=60.00
Closest atoms and distances in Å follow each position.
Element x y z (fractional)
Sr  0.0000  0.0000  0.0000  12 Au 3.36, 4 Sb 3.51
Sb  0.2500  0.2500  0.2500  12 Au 3.36, 4 Sr 3.51
Au  0.1247  0.6251  0.6251  6 Au 2.87
Au  0.6251  0.1247  0.6251  6 Au 2.87
Au  0.6251  0.6251  0.1247  6 Au 2.87
Au  0.6251  0.6251  0.6251  6 Au 2.87

Values from the calculation:
As for the raw formation energy: -404 meV per atom.

---

No. 9
The following is a GGA-PBE calculation of a geometry-optimized SrZn3Co structure, from Alexandria via LeMat-Bulk.

Unit cell a=5.9720 b=5.9720 c=5.9720 alpha=90.00 beta=90.00 gamma=90.00
Closest atoms and distances in Å follow each position.
Element x y z (fractional)
Sr  0.0000  0.0000  0.0000  6 Zn 2.99
Zn  0.0000  0.0000  0.5000  2 Sr 2.99
Zn  0.0000  0.5000  0.0000  2 Sr 2.99
Zn  0.5000  0.0000  0.0000  2 Sr 2.99
Co  0.5000  0.5000  0.5000  12 Zn 4.22

Values from the calculation:
The value obtained for the formation energy is 1429.5 meV per atom.

---

No. 10
The following is a GGA-PBE calculation of a geometry-optimized CaHf2W structure, from Alexandria via LeMat-Bulk.

Unit cell a=4.9365 b=4.9365 c=4.9365 alpha=60.00 beta=60.00 gamma=60.00
Closest atoms and distances in Å follow each position.
Element x y z (fractional)
Ca  0.0000  0.0000  0.0000  8 Hf 3.02
Hf  0.2500  0.2500  0.2500  4 W 3.02, 4 Ca 3.02
Hf  0.7500  0.7500  0.7500  4 W 3.02, 4 Ca 3.02
W  0.5000  0.5000  0.5000  8 Hf 3.02

Values from the calculation:
The value obtained for the formation energy is 468.5 meV per atom.

---

No. 11
The following is a GGA-PBE calculation of a geometry-optimized SrZr3Ga structure, from Alexandria via LeMat-Bulk.

Unit cell a=5.1288 b=5.1288 c=5.1288 alpha=90.00 beta=90.00 gamma=90.00
Closest atoms and distances in Å follow each position.
Element x y z (fractional)
Sr  0.0000  0.0000  0.0000  6 Zr 2.56
Zr  0.0000  0.0000  0.5000  2 Sr 2.56
Zr  0.0000  0.5000  0.0000  2 Sr 2.56
Zr  0.5000  0.0000  0.0000  2 Sr 2.56
Ga  0.5000  0.5000  0.5000  12 Zr 3.63

Values from the calculation:
The value obtained for the formation energy is 1809.4 meV per atom.

---

No. 12
The following is a GGA-PBE calculation of a geometry-optimized TcHIrRh2 structure, from Alexandria via LeMat-Bulk.

Unit cell a=3.9016 b=3.9016 c=3.9286 alpha=90.00 beta=90.00 gamma=90.00
Closest atoms and distances in Å follow each position.
Element x y z (fractional)
Tc  0.0000  0.0000  0.0000  4 Ir 2.76, 8 Rh 2.77
H  0.5000  0.5000  0.5000  4 Rh 1.95, 2 Ir 1.96
Ir  0.5000  0.5000  0.0000  2 H 1.96
Rh  0.0000  0.5000  0.5000  2 H 1.95
Rh  0.5000  0.0000  0.5000  2 H 1.95

Values from the calculation:
The total energy is -7.389 eV per atom.

---

Number 1: V 17.37 Å³/atom. Number 2: V 34.48 Å³/atom. Number 3: V 43.13 Å³/atom. Number 4: V 19.50 Å³/atom. Number 5: V 21.04 Å³/atom. Number 6: V 29.10 Å³/atom. Number 7: V 17.03 Å³/atom. Number 8: V 22.27 Å³/atom. Number 9: V 42.60 Å³/atom. Number 10: V 21.27 Å³/atom. Number 11: V 26.98 Å³/atom. Number 12: V 11.96 Å³/atom.